Below is SrCoHg2 at its PBEsol-relaxed geometry, with properties calculated at the SCAN level.

Formation energy: -0.39 eV/f.u.
Total energy: -176.3 eV/f.u.
Crystal system: orthorhombic
Fermi-level density of states: 1.91 states/eV/cell

abc: 3.4188 3.4719 7.1455
angles: 90.00 90.00 90.00
Fractional coordinates of all 4 atoms:
Co (0.5000, 0.5000, 0.5000)
Hg (0.0000, 0.0000, 0.6961)
Hg (0.0000, 0.0000, 0.3039)
Sr (0.5000, 0.5000, 0.0000)